Compound: YNbAsBr2
Source: the Alexandria database
Functional: SCAN
Structure: PBEsol geometry

a b c (Å): 4.9858 4.9858 5.1159
angles (deg): 90.00 90.00 90.00
Element x y z (fractional)
Y  0.0000  0.0000  0.0000
Nb  0.5000  0.5000  0.5000
As  0.5000  0.5000  0.0000
Br  0.0000  0.5000  0.5000
Br  0.5000  0.0000  0.5000

## Properties
* calculated density: 5.44 g/cm3
* total DFT energy (no corrections): -24.251 eV per atom
* magnetic moment: 2.26 Bohr magnetons per cell